Here is a geometry-optimized PdWF3 structure from Alexandria. Energies are from GGA+U.

Summary:
- Total energy: -24.966 eV for the cell shown
- Space group: Pm-3m, No. 221
- Energy relative to the lowest polymorph listed for this composition: 0.000 eV per atom

Lattice parameters (Å, degrees): 4.2740 4.2740 4.2740 90.00 90.00 90.00
Closest atoms and distances in Å follow each position.
Fractional coordinates of all 5 atoms:
1 Pd 0.0000 0.0000 0.0000  12 F 3.02
2 W 0.5000 0.5000 0.5000  6 F 2.14
3 F 0.0000 0.5000 0.5000  2 W 2.14
4 F 0.5000 0.0000 0.5000  2 W 2.14
5 F 0.5000 0.5000 0.0000  2 W 2.14